{
  "formula": "BeMoRu",
  "functional": "PBEsol",
  "state": "relaxed",
  "magmom_total_mub_per_atom": 0.0000,
  "formation_energy_ev_per_atom": -0.12,
  "lattice": [[-1.457, 1.457, 4.320], [1.457, -1.457, 4.320], [1.457, 1.457, -4.320]],
  "species": ["Be", "Mo", "Ru"],
  "fractional_positions": [[0.000, 0.000, 0.000], [0.324, 0.324, 0.000], [0.639, 0.639, 0.000]]
}

***

{
  "formula": "Be2MoRu2",
  "functional": "PBEsol",
  "state": "relaxed",
  "magmom_total_mub_per_atom": 0.0000,
  "formation_energy_ev_per_atom": -0.21,
  "lattice": [[6.285, 0.000, 0.000], [0.000, 6.285, 0.000], [0.000, 0.000, 2.866]],
  "species": ["Be", "Be", "Be", "Be", "Mo", "Mo", "Ru", "Ru", "Ru", "Ru"],
  "fractional_positions": [[0.124, 0.376, 0.000], [0.376, 0.876, 0.000], [0.624, 0.124, 0.000], [0.876, 0.624, 0.000], [0.000, 0.000, 0.000], [0.500, 0.500, 0.000], [0.168, 0.668, 0.500], [0.332, 0.168, 0.500], [0.668, 0.832, 0.500], [0.832, 0.332, 0.500]]
}

***

{
  "formula": "BeMoRu2",
  "functional": "PBEsol",
  "state": "relaxed",
  "magmom_total_mub_per_atom": 0.0001,
  "formation_energy_ev_per_atom": -0.14,
  "lattice": [[2.910, 0.000, 0.000], [0.000, 2.910, 0.000], [0.000, 0.000, 5.899]],
  "species": ["Be", "Mo", "Ru", "Ru"],
  "fractional_positions": [[0.000, 0.000, 0.000], [0.000, 0.000, 0.500], [0.500, 0.500, 0.223], [0.500, 0.500, 0.777]]
}

***

{
  "formula": "BeMoRu2",
  "functional": "PBEsol",
  "state": "relaxed",
  "magmom_total_mub_per_atom": 0.0000,
  "formation_energy_ev_per_atom": 0.08,
  "lattice": [[4.111, -1.345, 0.000], [4.111, 1.345, 0.000], [-0.602, 0.000, 4.681]],
  "species": ["Be", "Mo", "Ru", "Ru"],
  "fractional_positions": [[0.000, 0.000, 0.000], [0.500, 0.500, 0.500], [0.255, 0.255, 0.771], [0.745, 0.745, 0.229]]
}

***

{
  "formula": "Be2Mo2Ru",
  "functional": "PBEsol",
  "state": "relaxed",
  "magmom_total_mub_per_atom": 0.0002,
  "formation_energy_ev_per_atom": -0.11,
  "lattice": [[6.138, 0.000, 0.000], [0.000, 6.138, 0.000], [0.000, 0.000, 3.105]],
  "species": ["Be", "Be", "Be", "Be", "Mo", "Mo", "Mo", "Mo", "Ru", "Ru"],
  "fractional_positions": [[0.121, 0.379, 0.000], [0.379, 0.879, 0.000], [0.621, 0.121, 0.000], [0.879, 0.621, 0.000], [0.173, 0.673, 0.500], [0.327, 0.173, 0.500], [0.673, 0.827, 0.500], [0.827, 0.327, 0.500], [0.000, 0.000, 0.000], [0.500, 0.500, 0.000]]
}

***

{
  "formula": "Be2SbMo",
  "functional": "PBEsol",
  "state": "relaxed",
  "raw_formation_energy_ev_per_atom": 0.36,
  "magmom_total_mub_per_atom": 0.0000,
  "lattice": [[-1.728, 1.994, 3.990], [1.728, -1.994, 3.990], [1.728, 1.994, -3.990]],
  "species": ["Be", "Be", "Sb", "Mo"],
  "fractional_positions": [[0.245, 0.245, 0.000], [0.755, 0.755, 0.000], [0.500, 0.000, 0.500], [0.000, 0.500, 0.500]]
}

***

{
  "formula": "BeSbMo2",
  "functional": "PBEsol",
  "state": "relaxed",
  "raw_formation_energy_ev_per_atom": 0.42,
  "magmom_total_mub_per_atom": 0.0001,
  "lattice": [[2.898, 0.000, 0.000], [0.000, 4.089, 0.000], [-1.135, 0.000, 5.229]],
  "species": ["Be", "Sb", "Mo", "Mo"],
  "fractional_positions": [[0.000, 0.000, 0.000], [0.500, 0.000, 0.500], [0.261, 0.500, 0.776], [0.739, 0.500, 0.224]]
}

***

{
  "formula": "Be2SbMo",
  "functional": "PBEsol",
  "state": "relaxed",
  "raw_formation_energy_ev_per_atom": 0.30,
  "magmom_total_mub_per_atom": 0.0000,
  "lattice": [[3.495, 0.000, 0.000], [0.000, 3.626, 0.000], [0.000, 0.000, 4.222]],
  "species": ["Be", "Be", "Sb", "Mo"],
  "fractional_positions": [[0.000, 0.000, 0.000], [0.000, 0.500, 0.500], [0.500, 0.000, 0.500], [0.500, 0.500, 0.000]]
}

***

{
  "formula": "BeSbMo2",
  "functional": "PBEsol",
  "state": "relaxed",
  "raw_formation_energy_ev_per_atom": 0.31,
  "magmom_total_mub_per_atom": 0.0000,
  "lattice": [[4.385, -1.589, 0.000], [4.385, 1.589, 0.000], [-0.949, 0.000, 4.476]],
  "species": ["Be", "Sb", "Mo", "Mo"],
  "fractional_positions": [[0.000, 0.000, 0.000], [0.500, 0.500, 0.500], [0.257, 0.257, 0.789], [0.743, 0.743, 0.211]]
}

***

{
  "formula": "Be2SbMo",
  "functional": "PBEsol",
  "state": "relaxed",
  "raw_formation_energy_ev_per_atom": 0.75,
  "magmom_total_mub_per_atom": 0.0000,
  "lattice": [[-3.312, 3.312, 2.669], [3.312, -3.312, 2.669], [3.312, 3.312, -2.669]],
  "species": ["Be", "Be", "Be", "Be", "Sb", "Sb", "Mo", "Mo"],
  "fractional_positions": [[0.120, 0.125, 0.495], [0.375, 0.880, 0.005], [0.630, 0.625, 0.505], [0.875, 0.370, 0.995], [0.250, 0.750, 0.500], [0.500, 0.500, 0.000], [0.000, 0.000, 0.000], [0.750, 0.250, 0.500]]
}

***

{
  "formula": "Be2SbMo",
  "functional": "PBEsol",
  "state": "relaxed",
  "raw_formation_energy_ev_per_atom": 0.48,
  "magmom_total_mub_per_atom": 0.0000,
  "lattice": [[4.715, -1.405, 0.000], [4.715, 1.405, 0.000], [-0.395, 0.000, 4.380]],
  "species": ["Be", "Be", "Sb", "Mo"],
  "fractional_positions": [[0.000, 0.000, 0.000], [0.218, 0.218, 0.757], [0.764, 0.764, 0.276], [0.507, 0.507, 0.522]]
}

***

{
  "formula": "BeSb2Mo",
  "functional": "PBEsol",
  "state": "relaxed",
  "raw_formation_energy_ev_per_atom": 0.58,
  "magmom_total_mub_per_atom": 0.0005,
  "lattice": [[-2.213, 2.213, 3.640], [2.213, -2.213, 3.640], [2.213, 2.213, -3.640]],
  "species": ["Be", "Sb", "Sb", "Mo"],
  "fractional_positions": [[0.000, 0.000, 0.000], [0.250, 0.750, 0.500], [0.750, 0.250, 0.500], [0.500, 0.500, 0.000]]
}

***

Number 1: DOS at the Fermi energy 0.573 states/eV per atom. Number 2: DOS at the Fermi energy 0.612 states/eV per atom. Number 3: DOS at the Fermi energy 0.656 states/eV per atom. Number 4: DOS at the Fermi energy 0.729 states/eV per atom. Number 5: DOS at the Fermi energy 0.985 states/eV per atom. Number 6: DOS at the Fermi energy 0.401 states/eV per atom. Number 7: DOS at the Fermi energy 0.773 states/eV per atom. Number 8: DOS at the Fermi energy 0.604 states/eV per atom. Number 9: DOS at the Fermi energy 0.532 states/eV per atom. Number 10: DOS at the Fermi energy 0.759 states/eV per atom. Number 11: DOS at the Fermi energy 0.528 states/eV per atom. Number 12: DOS at the Fermi energy 1.021 states/eV per atom.